# 1
VASP calculation (PBE) on an optimized crystal structure of SrHfSCl2.

Calculated values
- raw formation energy (eV/f.u.) = -6.79
- DOS at the Fermi energy (states/eV/f.u.) = 2.33
- total energy (eV per cell) = -26.25

Lattice parameters (Å, degrees): 4.976 4.976 5.014 90.00 90.00 90.00
Site moments in Bohr magnetons follow the coordinates.
Fractional coordinates of all 5 atoms:
1 Hf 0.000 0.000 0.000  0.12
2 S 0.000 0.000 0.500  0.00
3 Cl 0.500 0.000 0.000  0.00
4 Cl 0.000 0.500 0.000  0.00
5 Sr 0.500 0.500 0.500  0.01

***

# 2
VASP calculation (PBE) on an optimized crystal structure of ZnCo2IrN.

Calculated values
- raw formation energy (eV/f.u.) = 0.34
- DOS at the Fermi energy (states/eV/f.u.) = 4.58
- total energy (eV per cell) = -32.33

Lattice parameters (Å, degrees): 3.783 3.783 4.047 90.00 90.00 90.00
Site moments in Bohr magnetons follow the coordinates.
Fractional coordinates of all 5 atoms:
1 N 0.000 0.000 0.000  0.04
2 Ir 0.000 0.000 0.500  0.15
3 Zn 0.500 0.500 0.500  -0.03
4 Co 0.000 0.500 0.000  1.00
5 Co 0.500 0.000 0.000  1.00

***

# 3
VASP calculation (PBE) on an optimized crystal structure of PuZrMoIr.

Calculated values
- DOS at the Fermi energy (states/eV/f.u.) = 5.51
- DFT formation energy (kJ/mol of atoms) = -24
- total energy (eV per cell) = -43.55

Lattice parameters (Å, degrees): 4.744 4.744 4.744 60.00 60.00 60.00
Site moments in Bohr magnetons follow the coordinates.
Fractional coordinates of all 4 atoms:
1 Mo 0.500 0.500 0.500  -0.56
2 Pu 0.250 0.250 0.250  4.67
3 Ir 0.000 0.000 0.000  -0.18
4 Zr 0.750 0.750 0.750  0.02

***

# 4
VASP calculation (PBE) on an optimized crystal structure of LaNbCd2S.

Calculated values
- raw formation energy (eV/f.u.) = 3.13
- DOS at the Fermi energy (states/eV/f.u.) = 4.50
- total energy (eV per cell) = -17.82

Lattice parameters (Å, degrees): 5.399 5.300 5.399 90.00 90.00 90.00
Fractional coordinates of all 5 atoms:
1 S 0.500 0.500 0.500
2 Nb 0.000 0.000 0.000
3 Cd 0.000 0.000 0.500
4 La 0.000 0.500 0.000
5 Cd 0.500 0.000 0.000

***

# 5
VASP calculation (PBE) on an optimized crystal structure of Ca2TaRhS.

Calculated values
- raw formation energy (eV/f.u.) = 2.44
- DOS at the Fermi energy (states/eV/f.u.) = 3.93
- total energy (eV per cell) = -24.90

Lattice parameters (Å, degrees): 5.549 4.354 5.549 90.00 90.00 90.00
Site moments in Bohr magnetons follow the coordinates.
Fractional coordinates of all 5 atoms:
1 Ca 0.500 0.000 0.000  0.08
2 S 0.000 0.500 0.000  0.01
3 Ca 0.000 0.000 0.500  0.08
4 Ta 0.500 0.500 0.500  2.19
5 Rh 0.000 0.000 0.000  0.17

***

# 6
VASP calculation (PBE) on an optimized crystal structure of NaTlAsH2.

Calculated values
- DOS at the Fermi energy (states/eV/f.u.) = 2.48
- total energy (eV per cell) = -11.53

Lattice parameters (Å, degrees): 4.061 7.144 4.061 90.00 90.00 90.00
Site moments in Bohr magnetons follow the coordinates.
Fractional coordinates of all 5 atoms:
1 As 0.500 0.500 0.500  0.11
2 H 0.500 0.000 0.000  0.21
3 Na 0.000 0.000 0.000  0.01
4 H 0.000 0.000 0.500  0.18
5 Tl 0.000 0.500 0.000  -0.01